1.
Computed, not measured: crystalline LaCrTe2I at its relaxed geometry at the PBE level of DFT.

The structure in CIF format:
```
data_LaCrTe2I
_chemical_formula_sum 'La1 Cr1 Te2 I1'
_symmetry_space_group_name_H-M 'P 4/m m m'
_symmetry_Int_Tables_number 123
_symmetry_space_group_name_Hall '-P 4 2'
_cell_length_a 6.183
_cell_length_b 6.183
_cell_length_c 6.191
_cell_angle_alpha 90.00
_cell_angle_beta 90.00
_cell_angle_gamma 90.00
loop_
_atom_site_label
_atom_site_type_symbol
_atom_site_fract_x
_atom_site_fract_y
_atom_site_fract_z
La1 La 0.000 0.000 0.000
Cr1 Cr 0.500 0.500 0.500
Te1 Te 0.000 0.500 0.000
I1 I 0.000 0.000 0.500
```

Results
DOS at the Fermi energy: 7.14 states/eV per cell
Offset from the most stable computed form: 0.511 eV/atom
ΔE_f (raw): -0.006 eV per atom

=====

2.
Computed, not measured: crystalline LaCrTe2I at its relaxed geometry at the PBE level of DFT.

The structure in CIF format:
```
data_LaCrTe2I
_chemical_formula_sum 'La1 Cr1 Te2 I1'
_symmetry_space_group_name_H-M 'P 4/m m m'
_symmetry_Int_Tables_number 123
_symmetry_space_group_name_Hall '-P 4 2'
_cell_length_a 5.423
_cell_length_b 5.423
_cell_length_c 5.307
_cell_angle_alpha 90.00
_cell_angle_beta 90.00
_cell_angle_gamma 90.00
loop_
_atom_site_label
_atom_site_type_symbol
_atom_site_fract_x
_atom_site_fract_y
_atom_site_fract_z
La1 La 0.000 0.000 0.000
Cr1 Cr 0.500 0.500 0.500
Te1 Te 0.000 0.500 0.500
I1 I 0.500 0.500 0.000
```

Results
DOS at the Fermi energy: 3.57 states/eV per cell
Offset from the most stable computed form: 0.000 eV/atom
ΔE_f (raw): -0.516 eV per atom

=====

3.
Computed, not measured: crystalline LaCrTeI2 at its relaxed geometry at the PBE level of DFT.

The structure in CIF format:
```
data_LaCrTeI2
_chemical_formula_sum 'La1 Cr1 Te1 I2'
_symmetry_space_group_name_H-M 'P 4/m m m'
_symmetry_Int_Tables_number 123
_symmetry_space_group_name_Hall '-P 4 2'
_cell_length_a 5.401
_cell_length_b 5.401
_cell_length_c 5.609
_cell_angle_alpha 90.00
_cell_angle_beta 90.00
_cell_angle_gamma 90.00
loop_
_atom_site_label
_atom_site_type_symbol
_atom_site_fract_x
_atom_site_fract_y
_atom_site_fract_z
La1 La 0.000 0.000 0.000
Cr1 Cr 0.500 0.500 0.500
Te1 Te 0.500 0.500 0.000
I1 I 0.000 0.500 0.500
```

Results
DOS at the Fermi energy: 6.07 states/eV per cell
Offset from the most stable computed form: 0.000 eV/atom
ΔE_f (raw): -0.425 eV per atom

=====

4.
Computed, not measured: crystalline LaCrTeI2 at its relaxed geometry at the PBE level of DFT.

The structure in CIF format:
```
data_LaCrTeI2
_chemical_formula_sum 'La1 Cr1 Te1 I2'
_symmetry_space_group_name_H-M 'P 4/m m m'
_symmetry_Int_Tables_number 123
_symmetry_space_group_name_Hall '-P 4 2'
_cell_length_a 6.225
_cell_length_b 6.225
_cell_length_c 6.252
_cell_angle_alpha 90.00
_cell_angle_beta 90.00
_cell_angle_gamma 90.00
loop_
_atom_site_label
_atom_site_type_symbol
_atom_site_fract_x
_atom_site_fract_y
_atom_site_fract_z
La1 La 0.000 0.000 0.000
Cr1 Cr 0.500 0.500 0.500
Te1 Te 0.000 0.000 0.500
I1 I 0.000 0.500 0.000
```

Results
DOS at the Fermi energy: 7.97 states/eV per cell
Offset from the most stable computed form: 0.171 eV/atom
ΔE_f (raw): -0.254 eV per atom